A geometry-optimized Nd2NCl3 structure. Source: the Alexandria database, functional PBE.

POSCAR file:
```
Nd2NCl3
1.0
6.2943 0.0000 0.0000
0.0000 6.9145 0.0000
0.0000 0.0000 13.5509
Nd Cl N
8 12 4
direct
0.4942 0.8251 0.9078
0.0058 0.8251 0.0922
0.9942 0.6749 0.5922
0.0058 0.3251 0.4078
0.4942 0.3251 0.5922
0.5058 0.1749 0.0922
0.9942 0.1749 0.9078
0.5058 0.6749 0.4078
0.6103 0.6345 0.7196
0.8897 0.1345 0.2196
0.7500 0.0013 0.5000
0.3897 0.3655 0.2804
0.8897 0.6345 0.2804
0.1103 0.8655 0.7804
0.2500 0.9987 0.5000
0.3897 0.8655 0.2196
0.2500 0.4987 0.0000
0.1103 0.3655 0.7196
0.7500 0.5013 0.0000
0.6103 0.1345 0.7804
0.7500 0.9927 0.0000
0.2500 0.0073 0.0000
0.7500 0.4927 0.5000
0.2500 0.5073 0.5000
```

Output
ρ: 4605 kg/m3
Formation energy without anion corrections: -12.6 eV/f.u.
Symmetry: Pbcn, No. 60
Volume: 24.57 Å³/atom


A geometry-optimized RbZnCd2Cu structure. Source: the Alexandria database, functional PBE.

POSCAR file:
```
RbZnCd2Cu
1.0
-0.8724 0.3440 5.1539
4.3284 -2.8038 0.9199
2.6442 4.1382 0.1714
Cu Cd Zn Rb
1 2 1 1
direct
0.0000 0.0000 0.0000
0.0000 0.5000 0.0000
0.5000 0.0000 0.0000
0.0000 0.0000 0.5000
0.5000 0.5000 0.5000
```

Output
Energy relative to the lowest polymorph listed for this composition: 0.00 eV/f.u.
ρ: 5409 kg/m3
Energy of formation: 0.084 eV per atom
Symmetry: P4/mmm, No. 123
Volume: 26.97 Å³/atom


A geometry-optimized ZrInRe structure. Source: the Alexandria database, functional PBE.

POSCAR file:
```
ZrInRe
1.0
3.1322 0.0000 0.0000
0.0000 25.4731 0.0000
0.0000 0.0000 3.0919
In Re Zr
4 4 4
direct
0.5000 0.4481 0.7500
0.0000 0.0519 0.2500
0.0000 0.9481 0.7500
0.5000 0.5519 0.2500
0.5000 0.2780 0.7500
0.0000 0.7780 0.7500
0.0000 0.2220 0.2500
0.5000 0.7220 0.2500
0.0000 0.6439 0.7500
0.5000 0.8561 0.2500
0.0000 0.3561 0.2500
0.5000 0.1439 0.7500
```

Output
Energy relative to the lowest polymorph listed for this composition: 0.00 eV/f.u.
ρ: 10561 kg/m3
Energy of formation: -0.142 eV per atom
Symmetry: Cmcm, No. 63
Volume: 20.56 Å³/atom


A geometry-optimized K2Hg4H5 structure. Source: the Alexandria database, functional PBE.

POSCAR file:
```
K2Hg4H5
1.0
10.1542 1.4929 2.0179
0.2700 6.8368 1.0795
0.4306 1.4861 3.3686
H Hg K
5 4 2
direct
0.0991 0.3430 0.0575
0.8859 0.2215 0.8897
0.1141 0.7785 0.1103
0.5000 0.0000 0.0000
0.9009 0.6570 0.9425
0.0981 0.7155 0.6894
0.4045 0.6911 0.4157
0.5955 0.3089 0.5843
0.9019 0.2845 0.3106
0.7274 0.8099 0.4587
0.2726 0.1901 0.5413
```

Output
ρ: 6944 kg/m3
Total DFT energy (no corrections): -19.31 eV/cell
Symmetry: P-1, No. 2
Volume: 19.25 Å³/atom